# CsBeAl2, optimized geometry, DFT GGA-PBE
data_CsBeAl2
_symmetry_space_group_name_H-M 'I 41/a m d'
_symmetry_Int_Tables_number 141
_cell_length_a 6.143
_cell_length_b 6.143
_cell_length_c 13.267
_cell_angle_alpha 90.00
_cell_angle_beta 90.00
_cell_angle_gamma 90.00
loop_
_symmetry_equiv_pos_as_xyz
'x,y,z'
'-x,-y,-z'
'-y+1/4,x+3/4,z+1/4'
'y+1/4,-x+3/4,-z+1/4'
'-x+1/2,-y,z+1/2'
'x+1/2,y,-z+1/2'
'y+1/4,-x+1/4,z+3/4'
'-y+1/4,x+1/4,-z+3/4'
'x,-y,-z'
'-x,y,z'
'-y+1/4,-x+1/4,-z+3/4'
'y+1/4,x+1/4,z+3/4'
'-x+1/2,y,-z+1/2'
'x+1/2,-y,z+1/2'
'y+1/4,x+3/4,-z+1/4'
'-y+1/4,-x+3/4,z+1/4'
'x+1/2,y+1/2,z+1/2'
'-x+1/2,-y+1/2,-z+1/2'
'-y+3/4,x+1/4,z+3/4'
'y+3/4,-x+1/4,-z+3/4'
'-x,-y+1/2,z'
'x,y+1/2,-z'
'y+3/4,-x+3/4,z+1/4'
'-y+3/4,x+3/4,-z+1/4'
'x+1/2,-y+1/2,-z+1/2'
'-x+1/2,y+1/2,z+1/2'
'-y+3/4,-x+3/4,-z+1/4'
'y+3/4,x+3/4,z+1/4'
'-x,y+1/2,-z'
'x,-y+1/2,z'
'y+3/4,x+1/4,-z+3/4'
'-y+3/4,-x+1/4,z+3/4'
loop_
_atom_site_label
_atom_site_fract_x
_atom_site_fract_y
_atom_site_fract_z
_atom_site_occupancy
Cs1 0.000 0.250 0.375 1
Be1 0.000 0.250 0.875 1
Al1 0.000 0.000 0.000 1
# **Density**: 2.599 g cm⁻³
# **Energy of formation from the pure elements**: 512 meV per atom